PBE with a Hubbard U La3WF, relaxed; energy = -4.46 eV/atom; space group = No. 221
1.0
5.679 0.000 0.000
0.000 5.679 0.000
0.000 0.000 5.679
La W F
3 1 1
direct
0.000 0.000 0.500
0.000 0.500 0.000
0.500 0.000 0.000
0.000 0.000 0.000
0.500 0.500 0.500